The following is a DFT calculation (PBE) of a relaxed structure of Y2N4O.

Computed properties:
The density of states at the Fermi level is 4.5 states/eV per cell.

Lattice parameters (Å, degrees): 6.7515 6.7515 6.7515 148.97 148.97 44.46
Fractional positions:
1 Y 0.1383 0.1383 0.0000
2 Y 0.8617 0.8617 0.0000
3 N 0.0000 0.5000 0.5000
4 N 0.3274 0.3274 0.0000
5 N 0.5000 0.0000 0.5000
6 N 0.6726 0.6726 0.0000
7 O 0.5000 0.5000 0.0000



The following is a DFT calculation (PBE) of a relaxed structure of Y6N5O.

Computed properties:
The density of states at the Fermi level is 1.4 states/eV per cell.

Lattice parameters (Å, degrees): 6.0028 6.0028 6.0059 99.61 99.61 119.99
Fractional positions:
1 Y 0.0774 0.4159 0.7480
2 Y 0.2461 0.2461 0.2544
3 Y 0.4159 0.0774 0.7480
4 Y 0.5841 0.9226 0.2520
5 Y 0.7539 0.7539 0.7456
6 Y 0.9226 0.5841 0.2520
7 N 0.0000 0.0000 0.5000
8 N 0.1668 0.8332 0.0000
9 N 0.3330 0.6670 0.5000
10 N 0.6670 0.3330 0.5000
11 N 0.8332 0.1668 0.0000
12 O 0.5000 0.5000 0.0000



Number 1: ρ 5.1 Mg/m³, uncorrected energy -6.921 eV per atom. Number 2: ρ 5.8 Mg/m³, uncorrected energy -9.066 eV per atom.